LaAuS2 (PBE, optimized geometry); DOS(E_F) = 0.00 states/eV/atom; E above lowest polymorph = 7.70 kcal/mol of atoms; formation energy without anion corrections = -4.255 eV per formula unit; calculated density = 7.9 Mg/m³
1.0
0.000 3.476 3.476
3.476 0.000 3.476
3.476 3.476 0.000
Au S La
1 2 1
direct
0.500 0.500 0.500
0.250 0.250 0.250
0.750 0.750 0.750
0.000 0.000 0.000